[1]
Tc3Pd: optimized geometry, GGA-PBEsol.

Cell lengths 2.714, 2.714, 8.803 Å; angles 90.00, 90.00, 120.00 degrees
Positions (direct):
Tc 0.000 0.000 0.000
Tc 0.667 0.333 0.244
Tc 0.667 0.333 0.756
Pd 0.000 0.000 0.500

Values from the calculation:
distance to the lowest polymorph of the same formula	105	meV/atom
M_tot	0.000	μB/atom
total DFT energy (no corrections)	-9.934	eV/atom
formation energy	0.01	eV per atom

***

[2]
Tc3TePd: optimized geometry, GGA-PBEsol.

Cell lengths 4.703, 4.703, 4.703 Å; angles 90.00, 90.00, 90.00 degrees
Positions (direct):
Tc 0.000 0.000 0.500
Tc 0.000 0.500 0.000
Tc 0.500 0.000 0.000
Te 0.000 0.000 0.000
Pd 0.500 0.500 0.500

Values from the calculation:
M_tot	0.000	μB/atom
formation energy without anion corrections	2.07	eV/atom
total DFT energy (no corrections)	-6.589	eV/atom

***

no.,Fermi-level density of states (states/eV/f.u.)
1,4.35
2,4.71